Arrangement 1

The following is a SCAN calculation of a crystal of Cd2FeCl relaxed with PBEsol, from Alexandria.

a b c (Å): 2.960 5.015 5.015
angles (deg): 90.00 90.00 90.00
Last column: magnetic moment on the atom in μB.
Atoms (fractional coordinates):
1 Cl 0.500 0.500 0.500  0.00
2 Fe 0.500 0.000 0.000  3.07
3 Cd 0.000 0.000 0.500  -0.05
4 Cd 0.000 0.500 0.000  -0.05

Calculated values
D(E_F)   1.1 states/eV/cell

---

Arrangement 2

The following is a SCAN calculation of a crystal of Cd2FeCl relaxed with PBEsol, from Alexandria.

a b c (Å): 3.034 5.037 5.037
angles (deg): 110.44 90.04 90.04
Last column: magnetic moment on the atom in μB.
Atoms (fractional coordinates):
1 Cl 0.500 0.000 0.000  0.01
2 Fe 0.500 0.500 0.500  2.87
3 Cd 0.000 0.500 0.000  -0.06
4 Cd 0.000 0.000 0.500  -0.06

Calculated values
D(E_F)   1.2 states/eV/cell

---

Energies, relative to the best one, in kJ/mol of atoms: arrangement 1 5.0; arrangement 2 0.0.